DFT (PBE-GGA) results for Pm2Ni3P4Pt after structural relaxation.

a b c (Å): 4.105 4.105 9.258
angles (deg): 90.00 90.00 90.00
Fractional positions:
1 Pm 0.000 0.500 0.241
2 Pm 0.500 0.000 0.759
3 Ni 0.000 0.500 0.888
4 Ni 0.500 0.000 0.112
5 Ni 0.500 0.500 0.500
6 P 0.000 0.000 0.000
7 P 0.000 0.500 0.639
8 P 0.500 0.000 0.361
9 P 0.500 0.500 0.000
10 Pt 0.000 0.000 0.500

Computed properties:
D(E_F) = 2.785 states/eV per cell
total energy = -6.440 eV per atom
space group = P-4m2 (115)



DFT (PBE-GGA) results for PmPuNi2P2 after structural relaxation.

a b c (Å): 3.928 3.928 7.920
angles (deg): 90.00 90.00 120.00
Fractional positions:
1 Pm 0.000 0.000 0.000
2 Pu 0.000 0.000 0.500
3 Ni 0.333 0.667 0.259
4 Ni 0.667 0.333 0.741
5 P 0.333 0.667 0.747
6 P 0.667 0.333 0.253

Computed properties:
D(E_F) = 11.383 states/eV per cell
total energy = -7.955 eV per atom
space group = P-3m1 (164)



DFT (PBE-GGA) results for PmNiP2Rh after structural relaxation.

a b c (Å): 5.629 5.629 5.629
angles (deg): 138.26 138.26 60.50
Fractional positions:
1 Pm 0.000 0.000 0.000
2 Ni 0.250 0.750 0.500
3 P 0.379 0.379 0.000
4 P 0.621 0.621 0.000
5 Rh 0.750 0.250 0.500

Computed properties:
D(E_F) = 4.033 states/eV per cell
total energy = -6.744 eV per atom
space group = I-4m2 (119)



DFT (PBE-GGA) results for Pm2Ni4P3Rh after structural relaxation.

a b c (Å): 3.941 3.941 9.771
angles (deg): 90.00 90.00 90.00
Fractional positions:
1 Pm 0.000 0.500 0.247
2 Pm 0.500 0.000 0.753
3 Ni 0.000 0.000 0.000
4 Ni 0.000 0.500 0.647
5 Ni 0.500 0.000 0.353
6 Ni 0.500 0.500 0.000
7 P 0.000 0.500 0.875
8 P 0.500 0.000 0.125
9 P 0.500 0.500 0.500
10 Rh 0.000 0.000 0.500

Computed properties:
D(E_F) = 8.248 states/eV per cell
total energy = -6.452 eV per atom
space group = P-4m2 (115)



DFT (PBE-GGA) results for Pm2NiP4Rh3 after structural relaxation.

a b c (Å): 4.165 4.165 9.436
angles (deg): 90.00 90.00 90.00
Fractional positions:
1 Pm 0.000 0.500 0.247
2 Pm 0.500 0.000 0.753
3 Ni 0.000 0.000 0.500
4 P 0.000 0.000 0.000
5 P 0.000 0.500 0.631
6 P 0.500 0.000 0.369
7 P 0.500 0.500 0.000
8 Rh 0.000 0.500 0.886
9 Rh 0.500 0.000 0.114
10 Rh 0.500 0.500 0.500

Computed properties:
D(E_F) = 5.211 states/eV per cell
total energy = -6.944 eV per atom
space group = P-4m2 (115)



DFT (PBE-GGA) results for Pm2NiP3Rh12 after structural relaxation.

a b c (Å): 7.040 7.040 7.040
angles (deg): 73.66 73.66 73.66
Fractional positions:
1 Pm 0.108 0.108 0.108
2 Pm 0.892 0.892 0.892
3 Ni 0.500 0.500 0.500
4 P 0.000 0.500 0.500
5 P 0.500 0.000 0.500
6 P 0.500 0.500 0.000
7 Rh 0.145 0.644 0.644
8 Rh 0.166 0.166 0.586
9 Rh 0.166 0.586 0.166
10 Rh 0.356 0.356 0.855
11 Rh 0.356 0.855 0.356
12 Rh 0.414 0.834 0.834
13 Rh 0.586 0.166 0.166
14 Rh 0.644 0.145 0.644
15 Rh 0.644 0.644 0.145
16 Rh 0.834 0.414 0.834
17 Rh 0.834 0.834 0.414
18 Rh 0.855 0.356 0.356

Computed properties:
D(E_F) = 16.665 states/eV per cell
total energy = -6.829 eV per atom
space group = R-3m (166)



DFT (PBE-GGA) results for PmNiP2Rh2 after structural relaxation.

a b c (Å): 7.282 7.282 7.282
angles (deg): 148.41 148.41 45.28
Fractional positions:
1 Pm 0.000 0.000 0.000
2 Ni 0.500 0.500 0.000
3 P 0.345 0.345 0.000
4 P 0.655 0.655 0.000
5 Rh 0.250 0.750 0.500
6 Rh 0.750 0.250 0.500

Computed properties:
D(E_F) = 2.624 states/eV per cell
total energy = -6.795 eV per atom
space group = I4/mmm (139)



DFT (PBE-GGA) results for PmNi2P2Rh after structural relaxation.

a b c (Å): 3.855 3.855 6.994
angles (deg): 90.00 90.00 120.00
Fractional positions:
1 Pm 0.000 0.000 0.000
2 Ni 0.333 0.667 0.698
3 Ni 0.667 0.333 0.302
4 P 0.333 0.667 0.290
5 P 0.667 0.333 0.710
6 Rh 0.000 0.000 0.500

Computed properties:
D(E_F) = 4.327 states/eV per cell
total energy = -6.561 eV per atom
space group = P-3m1 (164)



DFT (PBE-GGA) results for Pm2NiP3Rh4 after structural relaxation.

a b c (Å): 4.115 4.115 9.760
angles (deg): 90.00 90.00 90.00
Fractional positions:
1 Pm 0.000 0.500 0.240
2 Pm 0.500 0.000 0.760
3 Ni 0.500 0.500 0.000
4 P 0.000 0.000 0.000
5 P 0.000 0.500 0.637
6 P 0.500 0.000 0.363
7 Rh 0.000 0.000 0.500
8 Rh 0.000 0.500 0.872
9 Rh 0.500 0.000 0.128
10 Rh 0.500 0.500 0.500

Computed properties:
D(E_F) = 8.079 states/eV per cell
total energy = -7.069 eV per atom
space group = P-4m2 (115)



DFT (PBE-GGA) results for PmNiP2Ru after structural relaxation.

a b c (Å): 5.737 5.737 5.737
angles (deg): 139.87 139.87 58.04
Fractional positions:
1 Pm 0.000 0.000 0.000
2 Ni 0.750 0.250 0.500
3 P 0.378 0.378 0.000
4 P 0.622 0.622 0.000
5 Ru 0.250 0.750 0.500

Computed properties:
D(E_F) = 4.581 states/eV per cell
total energy = -7.049 eV per atom
space group = I-4m2 (119)



DFT (PBE-GGA) results for PmScNi2P2 after structural relaxation.

a b c (Å): 3.880 3.880 7.555
angles (deg): 90.00 90.00 120.00
Fractional positions:
1 Pm 0.000 0.000 0.000
2 Sc 0.000 0.000 0.500
3 Ni 0.333 0.667 0.727
4 Ni 0.667 0.333 0.273
5 P 0.333 0.667 0.269
6 P 0.667 0.333 0.731

Computed properties:
D(E_F) = 2.861 states/eV per cell
total energy = -6.740 eV per atom
space group = P-3m1 (164)



DFT (PBE-GGA) results for Pm4NiPSe2 after structural relaxation.

a b c (Å): 7.195 4.092 7.297
angles (deg): 90.00 108.81 90.00
Fractional positions:
1 Pm 0.241 0.000 0.231
2 Pm 0.257 0.500 0.766
3 Pm 0.743 0.500 0.234
4 Pm 0.759 0.000 0.769
5 Ni 0.000 0.500 0.000
6 P 0.500 0.000 0.000
7 Se 0.000 0.000 0.500
8 Se 0.500 0.500 0.500

Computed properties:
D(E_F) = 6.164 states/eV per cell
space group = P2/m (10)
energy relative to the elements, uncorrected = -1364 meV per atom